# 1
KTh2F9: optimized geometry, GGA-PBE.

Calculated values
Size of the total moment, Bohr magnetons per cell: 0.0
Final energy, eV/atom: -6.712
Space group: Pnma (62)

a = 8.9040 Å, b = 11.8028 Å, c = 7.2324 Å
α = 90.00°, β = 90.00°, γ = 90.00°
Fractional coordinates of all 48 atoms:
K1 0.0352 0.2500 0.1470
K2 0.4648 0.7500 0.6470
K3 0.5352 0.2500 0.3530
K4 0.9648 0.7500 0.8530
Th1 0.1748 0.0506 0.6541
Th2 0.1748 0.4494 0.6541
Th3 0.3252 0.5506 0.1541
Th4 0.3252 0.9494 0.1541
Th5 0.6748 0.0506 0.8459
Th6 0.6748 0.4494 0.8459
Th7 0.8252 0.5506 0.3459
Th8 0.8252 0.9494 0.3459
F1 0.0041 0.5982 0.5765
F2 0.0041 0.9018 0.5765
F3 0.0655 0.5805 0.1988
F4 0.0655 0.9195 0.1988
F5 0.1748 0.2500 0.6631
F6 0.2080 0.0960 0.9736
F7 0.2080 0.4040 0.9736
F8 0.2150 0.6059 0.8571
F9 0.2150 0.8941 0.8571
F10 0.2850 0.1059 0.3571
F11 0.2850 0.3941 0.3571
F12 0.2920 0.5960 0.4736
F13 0.2920 0.9040 0.4736
F14 0.3252 0.7500 0.1631
F15 0.4345 0.0805 0.6988
F16 0.4345 0.4195 0.6988
F17 0.4959 0.0982 0.0765
F18 0.4959 0.4018 0.0765
F19 0.5041 0.5982 0.9235
F20 0.5041 0.9018 0.9235
F21 0.5655 0.5805 0.3012
F22 0.5655 0.9195 0.3012
F23 0.6748 0.2500 0.8369
F24 0.7080 0.0960 0.5264
F25 0.7080 0.4040 0.5264
F26 0.7150 0.6059 0.6429
F27 0.7150 0.8941 0.6429
F28 0.7850 0.1059 0.1429
F29 0.7850 0.3941 0.1429
F30 0.7920 0.5960 0.0264
F31 0.7920 0.9040 0.0264
F32 0.8252 0.7500 0.3369
F33 0.9345 0.0805 0.8012
F34 0.9345 0.4195 0.8012
F35 0.9959 0.0982 0.4235
F36 0.9959 0.4018 0.4235


# 2
K5Ti2F12: optimized geometry, GGA-PBE.

Calculated values
Size of the total moment, Bohr magnetons per cell: 1.0
Final energy, eV/atom: -5.461
Space group: P1 (1)

a = 6.0600 Å, b = 7.0101 Å, c = 8.7004 Å
α = 93.63°, β = 90.35°, γ = 106.53°
Fractional coordinates of all 19 atoms:
K1 0.0000 0.0000 0.0000
K2 0.1072 0.2143 0.4745
K3 0.2530 0.5868 0.1809
K4 0.5519 0.1985 0.7457
K5 0.7116 0.7151 0.4801
Ti1 0.1879 0.6559 0.7153
Ti2 0.5686 0.1245 0.2431
F1 0.1035 0.6759 0.9269
F2 0.1063 0.9059 0.6830
F3 0.2454 0.9726 0.2669
F4 0.2493 0.6205 0.4961
F5 0.2569 0.4054 0.7489
F6 0.4849 0.1609 0.0372
F7 0.4999 0.3704 0.3145
F8 0.5024 0.8055 0.7475
F9 0.6466 0.8760 0.1903
F10 0.6496 0.0887 0.4543
F11 0.8763 0.5008 0.6625
F12 0.8935 0.2685 0.2103


# 3
K3TiF: optimized geometry, GGA-PBE.

Calculated values
Size of the total moment, Bohr magnetons per cell: 3.9
Final energy, eV/atom: -2.955
Space group: Pm-3m (221)

a = 5.5945 Å, b = 5.5945 Å, c = 5.5945 Å
α = 90.00°, β = 90.00°, γ = 90.00°
Fractional coordinates of all 5 atoms:
K1 0.0000 0.0000 0.5000
K2 0.0000 0.5000 0.0000
K3 0.5000 0.0000 0.0000
Ti1 0.5000 0.5000 0.5000
F1 0.0000 0.0000 0.0000


# 4
K2Ti3F10: optimized geometry, GGA-PBE.

Calculated values
Size of the total moment, Bohr magnetons per cell: 8.0
Final energy, eV/atom: -6.096
Space group: C2/m (12)

a = 10.1894 Å, b = 10.1894 Å, c = 8.2511 Å
α = 111.61°, β = 111.61°, γ = 34.49°
Fractional coordinates of all 30 atoms:
K1 0.1134 0.1134 0.2211
K2 0.2124 0.2124 0.8389
K3 0.7876 0.7876 0.1611
K4 0.8866 0.8866 0.7789
Ti1 0.2673 0.7327 0.5000
Ti2 0.3182 0.3182 0.4835
Ti3 0.4189 0.4189 0.0162
Ti4 0.5811 0.5811 0.9838
Ti5 0.6818 0.6818 0.5165
Ti6 0.7327 0.2673 0.5000
F1 0.0000 0.5000 0.5000
F2 0.0193 0.0193 0.6670
F3 0.1167 0.5938 0.0170
F4 0.1530 0.6300 0.4810
F5 0.2686 0.2686 0.2354
F6 0.2877 0.7123 0.0000
F7 0.3684 0.3684 0.7477
F8 0.3700 0.8470 0.5190
F9 0.4062 0.8833 0.9830
F10 0.4716 0.4716 0.2923
F11 0.5000 0.0000 0.5000
F12 0.5284 0.5284 0.7077
F13 0.5938 0.1167 0.0170
F14 0.6300 0.1530 0.4810
F15 0.6316 0.6316 0.2523
F16 0.7123 0.2877 0.0000
F17 0.7314 0.7314 0.7646
F18 0.8470 0.3700 0.5190
F19 0.8833 0.4062 0.9830
F20 0.9807 0.9807 0.3330